Entry 1:
Material: AgHg2As
Method: DFT, PBEsol
State: optimized geometry

Results
energy of formation from the pure elements	0.1704	eV per atom

abc: 2.9378 4.8600 5.9319
angles: 90.00 104.85 90.00
Atoms (fractional coordinates):
1 Hg 0.1247 0.0000 0.2634
2 Hg 0.8753 0.0000 0.7366
3 As 0.0000 0.5000 0.0000
4 Ag 0.5000 0.5000 0.5000

Entry 2:
Material: P3IrO9
Method: DFT, PBEsol
State: optimized geometry

Results
energy relative to the elements, uncorrected	-1.7617	eV per atom
energy above the most stable polymorph in this dataset	0.168	eV/f.u.

abc: 9.4055 10.5640 11.6510
angles: 113.39 109.89 98.03
Atoms (fractional coordinates):
1 O 0.0156 0.9942 0.9555
2 O 0.1654 0.6731 0.6192
3 O 0.8120 0.3731 0.9586
4 O 0.4089 0.7083 0.5285
5 O 0.0547 0.8912 0.6441
6 O 0.6587 0.8359 0.9329
7 O 0.8811 0.1402 0.7748
8 O 0.3210 0.1296 0.9887
9 O 0.6857 0.7088 0.6753
10 O 0.9345 0.7439 0.9374
11 O 0.3334 0.9120 0.8083
12 O 0.5601 0.0387 0.0445
13 O 0.1673 0.4044 0.6278
14 O 0.7378 0.4645 0.7224
15 O 0.2357 0.8358 0.2808
16 O 0.2301 0.6211 0.0369
17 O 0.0810 0.3812 0.8557
18 O 0.3514 0.5036 0.8772
19 O 0.6063 0.3654 0.2252
20 O 0.6932 0.5842 0.9631
21 O 0.1834 0.5984 0.2928
22 O 0.0770 0.7905 0.8049
23 O 0.3906 0.3056 0.7072
24 O 0.5929 0.9379 0.7323
25 O 0.4971 0.8065 0.0626
26 O 0.3605 0.2056 0.2677
27 O 0.9742 0.6264 0.1228
28 O 0.5247 0.1665 0.8980
29 O 0.9065 0.4947 0.3346
30 O 0.7230 0.6412 0.3753
31 O 0.0461 0.0539 0.3808
32 O 0.5104 0.0335 0.3247
33 O 0.4153 0.4999 0.3347
34 O 0.9106 0.2471 0.3559
35 O 0.8477 0.2659 0.6247
36 O 0.2079 0.4492 0.4170
37 O 0.3534 0.4145 0.0414
38 O 0.2909 0.0322 0.5830
39 O 0.8079 0.9035 0.4158
40 O 0.6650 0.8368 0.5361
41 O 0.0250 0.1036 0.1917
42 O 0.7720 0.9855 0.1951
43 O 0.8323 0.1409 0.0113
44 O 0.3804 0.1798 0.4715
45 O 0.0395 0.7766 0.3722
46 O 0.1266 0.2685 0.1020
47 O 0.2258 0.9031 0.0671
48 O 0.0719 0.1601 0.6654
49 O 0.8921 0.4877 0.5842
50 O 0.7253 0.5254 0.1443
51 O 0.4549 0.5550 0.7192
52 O 0.5154 0.7421 0.2776
53 O 0.6289 0.3007 0.4639
54 O 0.5807 0.1652 0.6653
55 P 0.7397 0.4971 0.2711
56 P 0.1504 0.8141 0.7081
57 P 0.0002 0.1357 0.0647
58 P 0.1142 0.7217 0.2747
59 P 0.6164 0.9050 0.0511
60 P 0.9423 0.1060 0.2919
61 P 0.3394 0.4470 0.7253
62 P 0.9686 0.2260 0.7289
63 P 0.7837 0.3917 0.6072
64 P 0.5947 0.7993 0.6281
65 P 0.2599 0.4813 0.9636
66 P 0.0652 0.8539 0.9489
67 P 0.4356 0.0711 0.9353
68 P 0.4098 0.1618 0.6068
69 P 0.3031 0.5550 0.3932
70 P 0.4667 0.1712 0.3719
71 P 0.7962 0.5177 0.0364
72 P 0.6765 0.7845 0.3928
73 Ir 0.6951 0.6496 0.8239
74 Ir 0.3712 0.8258 0.1761
75 Ir 0.3650 0.3152 0.1604
76 Ir 0.7046 0.1549 0.8396
77 Ir 0.0503 0.9707 0.5108
78 Ir 0.0395 0.4599 0.4892

Entry 3:
Material: Mg5Rh4
Method: DFT, PBEsol
State: optimized geometry

Results
energy of formation from the pure elements	-0.2983	eV per atom

abc: 5.3893 7.7010 7.7010
angles: 120.00 90.00 90.00
Atoms (fractional coordinates):
1 Mg 0.0000 0.6667 0.3333
2 Mg 0.7500 0.0000 0.2951
3 Mg 0.2500 0.2951 0.2951
4 Mg 0.2500 0.0000 0.7049
5 Mg 0.7500 0.2951 0.0000
6 Mg 0.0000 0.3333 0.6667
7 Mg 0.2500 0.7049 0.0000
8 Mg 0.5000 0.3333 0.6667
9 Mg 0.5000 0.6667 0.3333
10 Mg 0.7500 0.7049 0.7049
11 Rh 0.7500 0.3646 0.3646
12 Rh 0.2500 0.6354 0.6354
13 Rh 0.5000 0.0000 0.0000
14 Rh 0.7500 0.0000 0.6354
15 Rh 0.2500 0.3646 0.0000
16 Rh 0.0000 0.0000 0.0000
17 Rh 0.7500 0.6354 0.0000
18 Rh 0.2500 0.0000 0.3646

| no. | magnetization (μB/cell) | ρ (kg/m³) |
| --- | --- | --- |
| 1 | 0.000 | 11845 |
| 2 | 0.000 | 4514 |
| 3 | 0.000 | 6397 |